# MgZnCu2 | Alexandria | GGA-PBEsol | optimized geometry
# energy relative to the elements: 0.10 eV per atom
# size of the total moment: 0.00 μB per atom
data_MgZnCu2
_chemical_formula_sum 'Mg3 Zn3 Cu6'
_symmetry_space_group_name_H-M 'R 3 m'
_symmetry_Int_Tables_number 160
_symmetry_space_group_name_Hall 'R 3 -2"'
_cell_length_a 2.7374
_cell_length_b 2.7374
_cell_length_c 25.5908
_cell_angle_alpha 90.00
_cell_angle_beta 90.00
_cell_angle_gamma 120.00
loop_
_atom_site_label
_atom_site_type_symbol
_atom_site_fract_x
_atom_site_fract_y
_atom_site_fract_z
Mg1 Mg 0.0000 0.0000 0.0000
Zn1 Zn 0.0000 0.0000 0.7609
Cu1 Cu 0.0000 0.0000 0.2481
Cu2 Cu 0.0000 0.0000 0.5057

# MgZnCu4 | Alexandria | GGA-PBEsol | optimized geometry
# energy relative to the elements: -0.01 eV per atom
# size of the total moment: 0.00 μB per atom
data_MgZnCu4
_chemical_formula_sum 'Mg2 Zn2 Cu8'
_symmetry_space_group_name_H-M 'P m m a'
_symmetry_Int_Tables_number 51
_symmetry_space_group_name_Hall '-P 2a 2a'
_cell_length_a 8.155
_cell_length_b 2.644
_cell_length_c 7.090
_cell_angle_alpha 90.00
_cell_angle_beta 90.00
_cell_angle_gamma 90.00
loop_
_atom_site_label
_atom_site_type_symbol
_atom_site_fract_x
_atom_site_fract_y
_atom_site_fract_z
Mg1 Mg 0.250 0.000 0.050
Zn1 Zn 0.250 0.000 0.680
Cu1 Cu 0.000 0.000 0.500
Cu2 Cu 0.015 0.500 0.819
Cu3 Cu 0.250 0.500 0.376

# Mg2Zn2Cu | Alexandria | GGA-PBEsol | optimized geometry
# energy relative to the elements: -0.08 eV per atom
# polymorph energy (0 for the lowest one): 16 meV per atom
# size of the total moment: 0.00 μB per atom
data_Mg2Zn2Cu
_chemical_formula_sum 'Mg4 Zn4 Cu2'
_symmetry_space_group_name_H-M 'P 1 21/m 1'
_symmetry_Int_Tables_number 11
_symmetry_space_group_name_Hall '-P 2yb'
_cell_length_a 4.321
_cell_length_b 3.008
_cell_length_c 12.171
_cell_angle_alpha 90.00
_cell_angle_beta 91.18
_cell_angle_gamma 90.00
loop_
_atom_site_label
_atom_site_type_symbol
_atom_site_fract_x
_atom_site_fract_y
_atom_site_fract_z
Mg1 Mg 0.230 0.250 0.196
Mg2 Mg 0.245 0.750 0.429
Zn1 Zn 0.251 0.750 0.003
Zn2 Zn 0.261 0.750 0.664
Cu1 Cu 0.273 0.250 0.838

# Mg6ZnCu6 | Alexandria | GGA-PBEsol | optimized geometry
# energy relative to the elements: -0.04 eV per atom
# size of the total moment: 0.00 μB per atom
data_Mg6ZnCu6
_chemical_formula_sum 'Mg6 Zn1 Cu6'
_symmetry_space_group_name_H-M 'P 6/m m m'
_symmetry_Int_Tables_number 191
_symmetry_space_group_name_Hall '-P 6 2'
_cell_length_a 5.0853
_cell_length_b 5.0853
_cell_length_c 8.9819
_cell_angle_alpha 90.00
_cell_angle_beta 90.00
_cell_angle_gamma 120.00
loop_
_atom_site_label
_atom_site_type_symbol
_atom_site_fract_x
_atom_site_fract_y
_atom_site_fract_z
Mg1 Mg 0.0000 0.0000 0.1744
Mg2 Mg 0.3333 0.6667 0.0000
Mg3 Mg 0.3333 0.6667 0.5000
Zn1 Zn 0.0000 0.0000 0.5000
Cu1 Cu 0.0000 0.5000 0.2538

# Mg2ZnCu2 | Alexandria | GGA-PBEsol | optimized geometry
# energy relative to the elements: -0.05 eV per atom
# size of the total moment: 0.00 μB per atom
data_Mg2ZnCu2
_chemical_formula_sum 'Mg4 Zn2 Cu4'
_symmetry_space_group_name_H-M 'P 4/m b m'
_symmetry_Int_Tables_number 127
_symmetry_space_group_name_Hall '-P 4 2ab'
_cell_length_a 6.473
_cell_length_b 6.473
_cell_length_c 3.718
_cell_angle_alpha 90.00
_cell_angle_beta 90.00
_cell_angle_gamma 90.00
loop_
_atom_site_label
_atom_site_type_symbol
_atom_site_fract_x
_atom_site_fract_y
_atom_site_fract_z
Mg1 Mg 0.167 0.333 0.000
Zn1 Zn 0.000 0.000 0.500
Cu1 Cu 0.133 0.633 0.500

# MgZr2Cu | Alexandria | GGA-PBEsol | optimized geometry
# energy relative to the elements: -0.07 eV per atom
# size of the total moment: 0.00 μB per atom
data_MgZr2Cu
_chemical_formula_sum 'Mg1 Zr2 Cu1'
_symmetry_space_group_name_H-M 'P 4 m m'
_symmetry_Int_Tables_number 99
_symmetry_space_group_name_Hall 'P 4 -2'
_cell_length_a 3.102
_cell_length_b 3.102
_cell_length_c 7.980
_cell_angle_alpha 90.00
_cell_angle_beta 90.00
_cell_angle_gamma 90.00
loop_
_atom_site_label
_atom_site_type_symbol
_atom_site_fract_x
_atom_site_fract_y
_atom_site_fract_z
Mg1 Mg 0.000 0.000 0.000
Zr1 Zr 0.000 0.000 0.580
Zr2 Zr 0.500 0.500 0.304
Cu1 Cu 0.500 0.500 0.799

# MgZr2Cu | Alexandria | GGA-PBEsol | optimized geometry
# energy relative to the elements: 0.03 eV per atom
# size of the total moment: 0.00 μB per atom
data_MgZr2Cu
_chemical_formula_sum 'Mg2 Zr4 Cu2'
_symmetry_space_group_name_H-M 'I m m 2'
_symmetry_Int_Tables_number 44
_symmetry_space_group_name_Hall 'I 2 -2'
_cell_length_a 3.148
_cell_length_b 4.919
_cell_length_c 9.743
_cell_angle_alpha 90.00
_cell_angle_beta 90.00
_cell_angle_gamma 90.00
loop_
_atom_site_label
_atom_site_type_symbol
_atom_site_fract_x
_atom_site_fract_y
_atom_site_fract_z
Mg1 Mg 0.000 0.000 0.000
Zr1 Zr 0.000 0.000 0.557
Zr2 Zr 0.000 0.500 0.788
Cu1 Cu 0.000 0.500 0.288

# MnCu3 | Alexandria | GGA-PBEsol | optimized geometry
# energy relative to the elements: 0.15 eV per atom
# size of the total moment: 0.90 μB per atom
data_MnCu3
_chemical_formula_sum 'Mn1 Cu3'
_symmetry_space_group_name_H-M 'P m m m'
_symmetry_Int_Tables_number 47
_symmetry_space_group_name_Hall '-P 2 2'
_cell_length_a 2.592
_cell_length_b 3.489
_cell_length_c 5.192
_cell_angle_alpha 90.00
_cell_angle_beta 90.00
_cell_angle_gamma 90.00
loop_
_atom_site_label
_atom_site_type_symbol
_atom_site_fract_x
_atom_site_fract_y
_atom_site_fract_z
Mn1 Mn 0.000 0.000 0.000
Cu1 Cu 0.000 0.000 0.500
Cu2 Cu 0.500 0.500 0.256

# MnCu3 | Alexandria | GGA-PBEsol | optimized geometry
# energy relative to the elements: 0.15 eV per atom
# size of the total moment: 0.94 μB per atom
data_MnCu3
_chemical_formula_sum 'Mn2 Cu6'
_symmetry_space_group_name_H-M 'P 63/m m c'
_symmetry_Int_Tables_number 194
_symmetry_space_group_name_Hall '-P 6c 2c'
_cell_length_a 5.1106
_cell_length_b 5.1106
_cell_length_c 4.1765
_cell_angle_alpha 90.00
_cell_angle_beta 90.00
_cell_angle_gamma 120.00
loop_
_atom_site_label
_atom_site_type_symbol
_atom_site_fract_x
_atom_site_fract_y
_atom_site_fract_z
Mn1 Mn 0.3333 0.6667 0.2500
Cu1 Cu 0.1657 0.3315 0.7500

# Mn3Cu | Alexandria | GGA-PBEsol | optimized geometry
# energy relative to the elements: 0.20 eV per atom
# size of the total moment: 0.51 μB per atom
data_Mn3Cu
_chemical_formula_sum 'Mn3 Cu1'
_symmetry_space_group_name_H-M 'P m m m'
_symmetry_Int_Tables_number 47
_symmetry_space_group_name_Hall '-P 2 2'
_cell_length_a 2.530
_cell_length_b 3.477
_cell_length_c 5.048
_cell_angle_alpha 90.00
_cell_angle_beta 90.00
_cell_angle_gamma 90.00
loop_
_atom_site_label
_atom_site_type_symbol
_atom_site_fract_x
_atom_site_fract_y
_atom_site_fract_z
Mn1 Mn 0.000 0.000 0.000
Mn2 Mn 0.500 0.500 0.246
Cu1 Cu 0.000 0.000 0.500

# MnCu3 | Alexandria | GGA-PBEsol | optimized geometry
# energy relative to the elements: 0.20 eV per atom
# size of the total moment: 0.87 μB per atom
data_MnCu3
_chemical_formula_sum 'Mn1 Cu3'
_symmetry_space_group_name_H-M 'P 1 2/m 1'
_symmetry_Int_Tables_number 10
_symmetry_space_group_name_Hall '-P 2y'
_cell_length_a 2.486
_cell_length_b 4.139
_cell_length_c 4.602
_cell_angle_alpha 90.00
_cell_angle_beta 96.66
_cell_angle_gamma 90.00
loop_
_atom_site_label
_atom_site_type_symbol
_atom_site_fract_x
_atom_site_fract_y
_atom_site_fract_z
Mn1 Mn 0.000 0.000 0.000
Cu1 Cu 0.273 0.500 0.747
Cu2 Cu 0.500 0.000 0.500

# Mn3Cu | Alexandria | GGA-PBEsol | optimized geometry
# energy relative to the elements: 0.28 eV per atom
# size of the total moment: 0.25 μB per atom
data_Mn3Cu
_chemical_formula_sum 'Mn3 Cu1'
_symmetry_space_group_name_H-M 'P m -3 m'
_symmetry_Int_Tables_number 221
_symmetry_space_group_name_Hall '-P 4 2 3'
_cell_length_a 3.478
_cell_length_b 3.478
_cell_length_c 3.478
_cell_angle_alpha 90.00
_cell_angle_beta 90.00
_cell_angle_gamma 90.00
loop_
_atom_site_label
_atom_site_type_symbol
_atom_site_fract_x
_atom_site_fract_y
_atom_site_fract_z
Mn1 Mn 0.000 0.000 0.500
Cu1 Cu 0.500 0.500 0.500